(1)
{"formula": "LiCa3Al", "functional": "GGA-PBE", "state": "relaxed", "lattice": [[-3.215, 2.931, -3.201], [-4.323, -1.753, 2.736], [-0.752, 9.503, 4.900]], "species": ["Al", "Li", "Li", "Ca", "Al", "Ca", "Ca", "Ca", "Ca", "Ca"], "fractional_positions": [[0.666, 0.750, 0.317], [0.485, 0.750, 0.678], [0.163, 0.250, 0.322], [0.253, 0.750, 0.141], [0.983, 0.250, 0.683], [0.575, 0.250, 0.498], [0.894, 0.750, 0.861], [0.395, 0.250, 0.859], [0.073, 0.750, 0.502], [0.755, 0.250, 0.139]], "relative_energy_ev_per_atom": 0.000, "dft_energy_ha_per_atom": -0.090, "e_form_kj_per_mol_fu": -51, "vol_a3_per_atom": 30.30}


(2)
{"formula": "Li5CaAl", "functional": "GGA-PBE", "state": "relaxed", "lattice": [[-1.475, -3.078, 1.951], [3.066, 0.090, 2.459], [-5.065, 6.284, 6.085]], "species": ["Li", "Ca", "Li", "Li", "Li", "Li", "Al"], "fractional_positions": [[0.000, 0.500, 0.215], [0.000, 0.000, 0.500], [0.000, 0.000, 0.000], [0.000, 0.500, 0.785], [0.500, 0.000, 0.785], [0.500, 0.000, 0.215], [0.500, 0.500, 0.000]], "dft_energy_ha_per_atom": -0.080, "e_form_kj_per_mol_fu": 11, "vol_a3_per_atom": 22.32}


(3)
{"formula": "LiCaAl", "functional": "GGA-PBE", "state": "relaxed", "lattice": [[-0.891, -3.735, -3.366], [3.775, -1.696, -2.991], [1.970, -4.649, 0.764]], "species": ["Ca", "Li", "Al"], "fractional_positions": [[0.750, 0.750, 0.750], [0.000, 0.000, 0.000], [0.500, 0.500, 0.500]], "relative_energy_ev_per_atom": 0.640, "dft_energy_ha_per_atom": -0.077, "e_form_kj_per_mol_fu": 133, "vol_a3_per_atom": 31.38}


(4)
{"formula": "LiCa2Al", "functional": "GGA-PBE", "state": "relaxed", "lattice": [[-1.996, -3.164, -7.579], [-7.192, -3.093, 3.186], [-6.168, -0.270, -2.975]], "species": ["Al", "Ca", "Al", "Ca", "Li", "Li", "Ca", "Ca"], "fractional_positions": [[0.750, 0.250, 0.500], [0.875, 0.878, 0.750], [0.000, 0.000, 0.000], [0.628, 0.125, 0.250], [0.500, 0.500, 0.000], [0.250, 0.750, 0.500], [0.122, 0.625, 0.250], [0.375, 0.372, 0.750]], "dft_energy_ha_per_atom": -0.082, "e_form_kj_per_mol_fu": 75, "vol_a3_per_atom": 29.96}


(5)
{"formula": "Li3CaAl3", "functional": "GGA-PBE", "state": "relaxed", "lattice": [[6.948, 0.000, 0.000], [0.000, 6.948, 0.000], [0.000, 0.000, 6.948]], "species": ["Li", "Li", "Al", "Ca", "Al", "Li", "Ca", "Al", "Al", "Al", "Li", "Li", "Li", "Al"], "fractional_positions": [[0.500, 0.250, 0.000], [0.000, 0.500, 0.750], [0.000, 0.250, 0.500], [0.000, 0.000, 0.000], [0.500, 0.000, 0.250], [0.250, 0.000, 0.500], [0.500, 0.500, 0.500], [0.250, 0.500, 0.000], [0.000, 0.750, 0.500], [0.500, 0.000, 0.750], [0.750, 0.000, 0.500], [0.500, 0.750, 0.000], [0.000, 0.500, 0.250], [0.750, 0.500, 0.000]], "relative_energy_ev_per_atom": 0.000, "dft_energy_ha_per_atom": -0.084, "e_form_kj_per_mol_fu": 283, "vol_a3_per_atom": 23.96}


(6)
{"formula": "LiCa4Al", "functional": "GGA-PBE", "state": "relaxed", "lattice": [[3.865, -0.001, 0.000], [0.001, 3.865, 0.000], [-0.001, -0.001, 13.145]], "species": ["Ca", "Ca", "Li", "Al", "Ca", "Ca"], "fractional_positions": [[0.000, 0.000, 0.634], [0.500, 0.500, 0.153], [0.000, 0.000, 0.000], [0.500, 0.500, 0.500], [0.500, 0.500, 0.847], [0.000, 0.000, 0.366]], "relative_energy_ev_per_atom": 0.000, "dft_energy_ha_per_atom": -0.086, "e_form_kj_per_mol_fu": -33, "vol_a3_per_atom": 32.73}


(7)
{"formula": "Li10CaAl2", "functional": "GGA-PBE", "state": "relaxed", "lattice": [[5.485, 0.000, 0.000], [2.743, 6.637, 0.000], [2.743, 0.000, 7.315]], "species": ["Li", "Ca", "Li", "Al", "Li", "Li", "Li", "Li", "Al", "Li", "Li", "Li", "Li"], "fractional_positions": [[0.353, 0.629, 0.666], [0.000, 0.000, 0.000], [0.494, 0.225, 0.788], [0.500, 0.500, 0.000], [0.647, 0.371, 0.334], [0.282, 0.225, 0.212], [0.506, 0.775, 0.212], [0.718, 0.775, 0.788], [0.000, 0.500, 0.000], [0.500, 0.000, 0.500], [0.000, 0.000, 0.500], [0.982, 0.371, 0.666], [0.018, 0.629, 0.334]], "dft_energy_ha_per_atom": -0.083, "e_form_kj_per_mol_fu": -56, "vol_a3_per_atom": 20.49}


(8)
{"formula": "Li4Ca3Al2", "functional": "GGA-PBE", "state": "relaxed", "lattice": [[4.862, 0.000, 0.000], [-2.431, 5.242, -0.260], [0.000, -1.812, 8.856]], "species": ["Al", "Li", "Li", "Ca", "Ca", "Li", "Ca", "Al", "Li"], "fractional_positions": [[0.709, 0.418, 0.755], [0.086, 0.171, 0.661], [0.914, 0.829, 0.339], [0.623, 0.247, 0.378], [0.000, 0.000, 0.000], [0.717, 0.433, 0.063], [0.377, 0.753, 0.622], [0.291, 0.582, 0.245], [0.283, 0.567, 0.937]], "dft_energy_ha_per_atom": -0.090, "e_form_kj_per_mol_fu": -81, "vol_a3_per_atom": 24.82}


(9)
{"formula": "LiCaAl4", "functional": "GGA-PBE", "state": "relaxed", "lattice": [[-5.410, -1.200, -0.244], [-1.660, -4.955, -1.860], [-2.183, -3.693, 3.516]], "species": ["Al", "Ca", "Li", "Al", "Al", "Al"], "fractional_positions": [[0.125, 0.625, 0.625], [0.250, 0.250, 0.250], [0.000, 0.000, 0.000], [0.625, 0.625, 0.125], [0.625, 0.125, 0.625], [0.625, 0.625, 0.625]], "dft_energy_ha_per_atom": -0.122, "e_form_kj_per_mol_fu": -105, "vol_a3_per_atom": 20.11}


(10)
{"formula": "Li2Ca3Al", "functional": "GGA-PBE", "state": "relaxed", "lattice": [[5.429, 0.000, 0.000], [-2.715, 4.702, 0.000], [0.000, 0.000, 13.375]], "species": ["Li", "Li", "Ca", "Al", "Al", "Ca", "Ca", "Li", "Ca", "Ca", "Ca", "Li"], "fractional_positions": [[0.000, 0.000, 0.000], [0.000, 0.000, 0.500], [0.000, 0.000, 0.740], [0.667, 0.333, 0.335], [0.333, 0.667, 0.665], [0.333, 0.667, 0.420], [0.000, 0.000, 0.260], [0.667, 0.333, 0.823], [0.333, 0.667, 0.909], [0.667, 0.333, 0.580], [0.667, 0.333, 0.091], [0.333, 0.667, 0.177]], "relative_energy_ev_per_atom": 0.000, "dft_energy_ha_per_atom": -0.086, "e_form_kj_per_mol_fu": -50, "vol_a3_per_atom": 28.45}


(11)
{"formula": "Li12Ca5Al2", "functional": "GGA-PBE", "state": "relaxed", "lattice": [[-4.451, 6.254, -0.841], [-6.420, -4.488, 0.602], [-3.243, -1.159, 8.040]], "species": ["Li", "Li", "Li", "Li", "Ca", "Ca", "Li", "Al", "Li", "Ca", "Li", "Li", "Li", "Li", "Li", "Li", "Ca", "Ca", "Al"], "fractional_positions": [[0.318, 0.399, 0.803], [0.329, 0.453, 0.095], [0.230, 0.069, 0.250], [0.912, 0.921, 0.157], [0.546, 0.756, 0.488], [0.024, 0.702, 0.597], [0.671, 0.547, 0.905], [0.000, 0.329, 0.000], [0.682, 0.202, 0.197], [0.500, 0.000, 0.000], [0.770, 0.931, 0.750], [0.682, 0.601, 0.197], [0.088, 0.079, 0.843], [0.770, 0.319, 0.750], [0.230, 0.681, 0.250], [0.318, 0.798, 0.803], [0.976, 0.298, 0.403], [0.454, 0.244, 0.512], [0.000, 0.671, 0.000]], "dft_energy_ha_per_atom": -0.078, "e_form_kj_per_mol_fu": 14, "vol_a3_per_atom": 24.95}


(12)
{"formula": "LiCa3Al4", "functional": "GGA-PBE", "state": "relaxed", "lattice": [[0.414, 9.335, -0.178], [-2.615, -5.159, -3.944], [-1.675, -3.957, 6.398]], "species": ["Ca", "Ca", "Ca", "Al", "Al", "Al", "Li", "Al"], "fractional_positions": [[0.019, 0.000, 0.000], [0.284, 0.916, 0.499], [0.754, 0.084, 0.501], [0.379, 0.009, 0.000], [0.833, 0.672, 0.500], [0.659, 0.991, 0.000], [0.519, 0.500, 0.000], [0.205, 0.328, 0.500]], "dft_energy_ha_per_atom": -0.111, "e_form_kj_per_mol_fu": -117, "vol_a3_per_atom": 24.68}


(13)
{"formula": "Li2CaAl4", "functional": "GGA-PBE", "state": "relaxed", "lattice": [[4.478, -0.004, 2.389], [2.057, 5.110, 1.523], [-0.176, -0.365, 5.700]], "species": ["Ca", "Al", "Li", "Al", "Al", "Li", "Al"], "fractional_positions": [[0.000, 0.000, 0.000], [0.309, 0.000, 0.382], [0.750, 0.500, 0.500], [0.692, 0.000, 0.618], [0.692, 0.618, 0.000], [0.250, 0.500, 0.500], [0.309, 0.382, 0.000]], "dft_energy_ha_per_atom": -0.116, "e_form_kj_per_mol_fu": -126, "vol_a3_per_atom": 19.05}


(14)
{"formula": "LiCaAl", "functional": "GGA-PBE", "state": "relaxed", "lattice": [[-1.809, 5.649, -1.260], [-4.898, -1.404, 0.739], [0.669, 2.085, 8.390]], "species": ["Li", "Ca", "Ca", "Ca", "Al", "Al", "Li", "Ca", "Li", "Al", "Li", "Al"], "fractional_positions": [[0.750, 0.499, 0.179], [0.750, 0.999, 0.338], [0.750, 0.501, 0.838], [0.250, 0.001, 0.662], [0.500, 0.000, 0.000], [0.000, 0.000, 0.000], [0.250, 0.501, 0.821], [0.250, 0.499, 0.162], [0.250, 0.999, 0.321], [0.000, 0.500, 0.500], [0.750, 0.001, 0.679], [0.500, 0.500, 0.500]], "relative_energy_ev_per_atom": 0.083, "dft_energy_ha_per_atom": -0.097, "e_form_kj_per_mol_fu": -28, "vol_a3_per_atom": 22.56}


(15)
{"formula": "Li2Ca2Al", "functional": "GGA-PBE", "state": "relaxed", "lattice": [[-3.111, -1.809, 4.529], [-3.195, -3.303, -3.513], [-0.677, -5.507, 1.030]], "species": ["Al", "Ca", "Ca", "Li", "Li"], "fractional_positions": [[0.000, 0.000, 0.000], [0.250, 0.750, 0.500], [0.750, 0.250, 0.500], [0.349, 0.349, 0.303], [0.651, 0.651, 0.697]], "relative_energy_ev_per_atom": 0.168, "dft_energy_ha_per_atom": -0.083, "e_form_kj_per_mol_fu": 33, "vol_a3_per_atom": 26.02}


(16)
{"formula": "LiCa2Al", "functional": "GGA-PBE", "state": "relaxed", "lattice": [[3.674, 0.000, 0.000], [0.000, 3.674, 0.000], [0.000, 0.000, 8.325]], "species": ["Al", "Ca", "Ca", "Li"], "fractional_positions": [[0.500, 0.500, 0.702], [0.500, 0.500, 0.299], [0.000, 0.000, 0.940], [0.000, 0.000, 0.558]], "dft_energy_ha_per_atom": -0.091, "e_form_kj_per_mol_fu": -19, "vol_a3_per_atom": 28.09}


(17)
{"formula": "Li4CaAl", "functional": "GGA-PBE", "state": "relaxed", "lattice": [[5.534, 0.000, 0.000], [2.767, 4.792, 0.000], [2.767, 1.597, 4.518]], "species": ["Li", "Al", "Li", "Ca", "Li", "Li"], "fractional_positions": [[0.623, 0.623, 0.623], [0.250, 0.250, 0.250], [0.132, 0.623, 0.623], [0.000, 0.000, 0.000], [0.623, 0.623, 0.132], [0.623, 0.132, 0.623]], "relative_energy_ev_per_atom": 0.000, "dft_energy_ha_per_atom": -0.084, "e_form_kj_per_mol_fu": -29, "vol_a3_per_atom": 19.97}


(18)
{"formula": "Li8CaAl4", "functional": "GGA-PBE", "state": "relaxed", "lattice": [[5.427, 0.000, 0.000], [2.714, 6.736, 0.000], [2.714, 0.000, 6.736]], "species": ["Li", "Li", "Al", "Al", "Li", "Al", "Li", "Li", "Ca", "Li", "Li", "Al", "Li"], "fractional_positions": [[0.276, 0.224, 0.224], [0.000, 0.655, 0.345], [0.000, 0.000, 0.500], [0.500, 0.500, 0.000], [0.345, 0.655, 0.655], [0.500, 0.000, 0.500], [0.724, 0.776, 0.776], [0.500, 0.224, 0.776], [0.000, 0.000, 0.000], [0.500, 0.776, 0.224], [0.000, 0.345, 0.655], [0.000, 0.500, 0.000], [0.655, 0.345, 0.345]], "dft_energy_ha_per_atom": -0.096, "e_form_kj_per_mol_fu": -161, "vol_a3_per_atom": 18.94}


(19)
{"formula": "Li15Ca2Al2", "functional": "GGA-PBE", "state": "relaxed", "lattice": [[-1.547, -1.596, 7.039], [-4.775, -5.428, -1.493], [4.891, -5.494, 0.616]], "species": ["Al", "Ca", "Li", "Li", "Li", "Li", "Li", "Ca", "Li", "Li", "Li", "Li", "Li", "Li", "Li", "Li", "Al", "Li", "Li"], "fractional_positions": [[0.101, 0.101, 0.101], [0.658, 0.658, 0.658], [0.268, 0.732, 0.000], [0.128, 0.648, 0.648], [0.872, 0.352, 0.352], [0.732, 0.000, 0.268], [0.352, 0.352, 0.872], [0.342, 0.342, 0.342], [0.268, 0.000, 0.732], [0.000, 0.000, 0.500], [0.648, 0.128, 0.648], [0.352, 0.872, 0.352], [0.500, 0.000, 0.000], [0.000, 0.500, 0.000], [0.000, 0.268, 0.732], [0.000, 0.732, 0.268], [0.899, 0.899, 0.899], [0.648, 0.648, 0.128], [0.732, 0.268, 0.000]], "dft_energy_ha_per_atom": -0.078, "e_form_kj_per_mol_fu": -37, "vol_a3_per_atom": 20.86}


(20)
{"formula": "LiCa2Al2", "functional": "GGA-PBE", "state": "relaxed", "lattice": [[8.981, 0.000, 0.000], [0.000, 8.981, 0.000], [0.000, 0.000, 3.375]], "species": ["Ca", "Al", "Ca", "Li", "Al", "Al", "Ca", "Al", "Li", "Ca"], "fractional_positions": [[0.814, 0.686, 0.000], [0.106, 0.606, 0.500], [0.186, 0.314, 0.000], [0.000, 0.000, 0.000], [0.394, 0.106, 0.500], [0.894, 0.394, 0.500], [0.686, 0.186, 0.000], [0.606, 0.894, 0.500], [0.500, 0.500, 0.000], [0.314, 0.814, 0.000]], "relative_energy_ev_per_atom": 0.188, "dft_energy_ha_per_atom": -0.098, "e_form_kj_per_mol_fu": 9, "vol_a3_per_atom": 27.22}


(21)
{"formula": "LiCa2Al", "functional": "GGA-PBE", "state": "relaxed", "lattice": [[-3.837, 1.295, 4.742], [-4.174, -2.362, 3.986], [2.180, -1.196, 4.809]], "species": ["Ca", "Li", "Al", "Ca"], "fractional_positions": [[0.970, 0.970, 0.044], [0.543, 0.543, 0.470], [0.225, 0.225, 0.258], [0.762, 0.762, 0.728]], "dft_energy_ha_per_atom": -0.092, "e_form_kj_per_mol_fu": -31, "vol_a3_per_atom": 27.67}


(22)
{"formula": "Li2Ca2Al", "functional": "GGA-PBE", "state": "relaxed", "lattice": [[-3.177, 6.554, 1.256], [-3.270, -0.317, -6.621], [-3.749, -2.192, 1.957]], "species": ["Al", "Ca", "Li", "Li", "Ca", "Ca", "Li", "Ca", "Li", "Al"], "fractional_positions": [[0.000, 0.000, 0.000], [0.690, 0.810, 0.500], [0.630, 0.130, 0.000], [0.870, 0.630, 0.000], [0.310, 0.190, 0.500], [0.810, 0.310, 0.500], [0.370, 0.870, 0.000], [0.190, 0.690, 0.500], [0.130, 0.370, 0.000], [0.500, 0.500, 0.000]], "relative_energy_ev_per_atom": 0.087, "dft_energy_ha_per_atom": -0.085, "e_form_kj_per_mol_fu": -5, "vol_a3_per_atom": 26.02}


(23)
{"formula": "Li2CaAl2", "functional": "GGA-PBE", "state": "relaxed", "lattice": [[-5.746, 5.497, -1.599], [0.476, -1.799, -7.895], [-2.207, -2.200, 0.368]], "species": ["Al", "Li", "Al", "Li", "Li", "Al", "Li", "Ca", "Ca", "Al"], "fractional_positions": [[0.382, 0.882, 0.000], [0.175, 0.675, 0.500], [0.882, 0.618, 0.000], [0.825, 0.325, 0.500], [0.325, 0.175, 0.500], [0.118, 0.382, 0.000], [0.675, 0.825, 0.500], [0.500, 0.500, 0.000], [0.000, 0.000, 0.000], [0.618, 0.118, 0.000]], "relative_energy_ev_per_atom": 0.040, "dft_energy_ha_per_atom": -0.100, "e_form_kj_per_mol_fu": -24, "vol_a3_per_atom": 20.65}